A) ! LiC3, relaxed, DFT PBE-GGA; values from VASP
! symmetry	No. 25
&SYSTEM
  ibrav = 0, nat = 4, ntyp = 2
/
ATOMIC_SPECIES
C 12.01 C.upf
Li 6.94 Li.upf
ATOMIC_POSITIONS angstrom
C 0.000 0.000 2.856
Li 0.000 2.476 1.046
C 1.283 0.000 2.856
C 1.283 2.476 2.847
CELL_PARAMETERS angstrom
2.565 0.000 0.000
0.000 4.953 0.000
0.000 0.000 3.602

B) ! LiC3, relaxed, DFT PBE-GGA; values from VASP
! symmetry	No. 63
&SYSTEM
  ibrav = 0, nat = 8, ntyp = 2
/
ATOMIC_SPECIES
C 12.01 C.upf
Li 6.94 Li.upf
ATOMIC_POSITIONS angstrom
C 4.306 1.188 0.627
C 0.704 -1.188 1.881
C 0.704 1.188 0.627
C 2.505 -3.733 1.881
C 2.505 3.733 0.627
Li 2.505 1.661 1.881
Li 2.505 -1.661 0.627
C 4.306 -1.188 1.881
CELL_PARAMETERS angstrom
2.505 -5.666 0.000
2.505 5.666 0.000
0.000 0.000 2.508

Most stable structure, least stable structure: B), A).

A) ! LiC3, relaxed, DFT PBE-GGA; values from VASP
! symmetry	No. 47
&SYSTEM
  ibrav = 0, nat = 4, ntyp = 2
/
ATOMIC_SPECIES
C 12.01 C.upf
Li 6.94 Li.upf
ATOMIC_POSITIONS angstrom
C 0.000 1.385 2.414
C 0.000 1.385 3.897
C 1.690 1.385 3.156
Li 1.690 0.462 1.052
CELL_PARAMETERS angstrom
3.381 0.000 0.000
0.000 1.845 0.000
0.000 0.002 4.208

B) ! LiC3, relaxed, DFT PBE-GGA; values from VASP
! symmetry	No. 44
&SYSTEM
  ibrav = 0, nat = 4, ntyp = 2
/
ATOMIC_SPECIES
C 12.01 C.upf
Li 6.94 Li.upf
ATOMIC_POSITIONS angstrom
C 0.541 -0.381 1.598
C 0.865 0.292 0.211
Li 2.498 -1.759 1.194
C 2.866 3.134 0.211
CELL_PARAMETERS angstrom
4.371 -0.051 0.070
-1.521 4.098 -0.070
0.779 -3.575 2.393

Most stable structure, least stable structure: B), A).

A) ! LiC3, relaxed, DFT PBE-GGA; values from VASP
! symmetry	No. 71
&SYSTEM
  ibrav = 0, nat = 4, ntyp = 2
/
ATOMIC_SPECIES
Li 6.94 Li.upf
C 12.01 C.upf
ATOMIC_POSITIONS angstrom
Li 2.351 -1.899 1.213
C 2.860 3.542 0.000
C -0.350 0.283 1.120
C 0.575 0.712 0.000
CELL_PARAMETERS angstrom
4.419 -0.054 0.093
-0.983 4.308 -0.093
0.284 -3.743 2.333

B) ! LiC3, relaxed, DFT PBE-GGA; values from VASP
! symmetry	No. 123
&SYSTEM
  ibrav = 0, nat = 4, ntyp = 2
/
ATOMIC_SPECIES
C 12.01 C.upf
Li 6.94 Li.upf
ATOMIC_POSITIONS angstrom
C 0.000 0.000 1.843
C 1.336 1.336 1.152
Li 1.336 1.336 3.456
C 0.000 0.000 0.461
CELL_PARAMETERS angstrom
2.672 0.000 0.000
0.000 2.672 0.000
0.000 0.000 4.608

C) ! LiC3, relaxed, DFT PBE-GGA; values from VASP
! symmetry	No. 59
&SYSTEM
  ibrav = 0, nat = 8, ntyp = 2
/
ATOMIC_SPECIES
C 12.01 C.upf
Li 6.94 Li.upf
ATOMIC_POSITIONS angstrom
C -2.113 -3.328 1.961
Li -2.480 -2.132 -0.106
C 0.031 -1.286 0.354
Li 0.398 -2.483 2.421
C -1.911 -2.413 2.867
C -0.374 -3.118 -1.457
C -0.172 -2.202 -0.552
C -2.316 -4.245 1.055
CELL_PARAMETERS angstrom
-0.609 -2.748 -2.718
0.530 -3.308 3.226
-4.616 0.135 0.897

Most stable structure, least stable structure: C), B).

A) ! LiC3, relaxed, DFT PBE-GGA; values from VASP
! symmetry	No. 12
&SYSTEM
  ibrav = 0, nat = 4, ntyp = 2
/
ATOMIC_SPECIES
C 12.01 C.upf
Li 6.94 Li.upf
ATOMIC_POSITIONS angstrom
C 2.741 0.964 1.762
C 1.426 0.501 1.768
C 4.056 1.426 1.757
Li 0.000 0.000 0.000
CELL_PARAMETERS angstrom
3.797 -0.002 -0.020
2.960 2.377 -0.020
-1.275 -0.448 3.565

B) ! LiC3, relaxed, DFT PBE-GGA; values from VASP
! symmetry	No. 187
&SYSTEM
  ibrav = 0, nat = 4, ntyp = 2
/
ATOMIC_SPECIES
Li 6.94 Li.upf
C 12.01 C.upf
ATOMIC_POSITIONS angstrom
Li 1.276 0.737 3.765
C 0.000 0.000 2.111
C 0.000 0.000 0.400
C 1.276 0.737 1.255
CELL_PARAMETERS angstrom
2.553 0.000 0.000
-1.276 2.211 0.000
0.000 0.000 5.020

C) ! LiC3, relaxed, DFT PBE-GGA; values from VASP
! symmetry	No. 62
&SYSTEM
  ibrav = 0, nat = 16, ntyp = 2
/
ATOMIC_SPECIES
C 12.01 C.upf
Li 6.94 Li.upf
ATOMIC_POSITIONS angstrom
C 4.780 0.645 0.514
C 4.716 2.008 1.216
C 1.227 1.735 2.946
C 2.326 4.116 2.946
Li 4.527 1.952 3.648
Li 2.579 2.808 1.216
C 2.390 2.753 3.648
C 5.879 3.025 1.918
C 5.879 3.025 0.514
Li 6.132 4.333 3.648
Li 0.974 0.428 1.216
C 5.942 4.388 1.216
C 2.326 4.116 4.350
C 1.163 0.373 3.648
C 1.227 1.735 4.350
C 4.780 0.645 1.918
CELL_PARAMETERS angstrom
7.106 0.000 0.000
0.000 4.760 0.000
0.000 0.000 4.864

D) ! LiC3, relaxed, DFT PBE-GGA; values from VASP
! symmetry	No. 139
&SYSTEM
  ibrav = 0, nat = 8, ntyp = 2
/
ATOMIC_SPECIES
Li 6.94 Li.upf
C 12.01 C.upf
ATOMIC_POSITIONS angstrom
Li 11.813 -0.137 3.159
C 4.373 -1.133 1.801
C -0.273 0.610 1.046
Li 6.356 -0.074 1.700
C 4.270 0.557 2.260
C -0.169 -1.081 0.586
C 16.942 -0.197 4.531
C 1.227 -0.014 0.328
CELL_PARAMETERS angstrom
9.188 -1.796 1.970
8.981 1.585 2.889
-9.527 -0.365 -0.797

Most stable structure, least stable structure: A), D).

A) ! Li5C, relaxed, DFT PBE-GGA; values from VASP
! symmetry	No. 189
&SYSTEM
  ibrav = 0, nat = 6, ntyp = 2
/
ATOMIC_SPECIES
Li 6.94 Li.upf
C 12.01 C.upf
ATOMIC_POSITIONS angstrom
Li 1.663 -2.880 0.000
C 0.000 0.000 1.965
Li 1.663 2.880 0.000
Li 2.290 -1.322 1.965
Li 2.290 1.322 1.965
Li 1.254 0.000 0.000
CELL_PARAMETERS angstrom
2.290 -3.966 0.000
2.290 3.966 0.000
0.000 0.000 3.931

B) ! Li5C, relaxed, DFT PBE-GGA; values from VASP
! symmetry	No. 65
&SYSTEM
  ibrav = 0, nat = 6, ntyp = 2
/
ATOMIC_SPECIES
Li 6.94 Li.upf
C 12.01 C.upf
ATOMIC_POSITIONS angstrom
Li 1.925 -3.584 0.000
Li 1.925 1.295 1.903
Li 1.925 -1.295 1.903
C 1.925 0.000 0.000
Li 1.925 3.584 0.000
Li 0.000 0.000 1.903
CELL_PARAMETERS angstrom
1.925 -4.998 0.000
1.925 4.998 0.000
0.000 0.000 3.806

Most stable structure, least stable structure: B), A).

A) ! Li3C, relaxed, DFT PBE-GGA; values from VASP
! symmetry	No. 62
&SYSTEM
  ibrav = 0, nat = 16, ntyp = 2
/
ATOMIC_SPECIES
Li 6.94 Li.upf
C 12.01 C.upf
ATOMIC_POSITIONS angstrom
Li 1.649 4.947 0.384
C 0.462 3.725 1.692
Li 0.515 1.997 0.384
Li 3.906 5.763 1.692
Li 2.679 0.952 3.767
C 3.867 2.174 5.076
Li 0.422 0.136 5.076
Li 0.515 1.997 3.000
C 2.626 5.123 5.076
Li 3.813 3.902 6.384
Li 1.742 3.086 5.076
Li 1.649 4.947 3.000
Li 2.586 2.813 1.692
C 1.702 0.775 1.692
Li 3.813 3.902 3.767
Li 2.679 0.952 6.384
CELL_PARAMETERS angstrom
4.328 0.000 0.000
0.000 5.899 0.000
0.000 0.000 6.768

B) ! Li3C, relaxed, DFT PBE-GGA; values from VASP
! symmetry	No. 166
&SYSTEM
  ibrav = 0, nat = 4, ntyp = 2
/
ATOMIC_SPECIES
Li 6.94 Li.upf
C 12.01 C.upf
ATOMIC_POSITIONS angstrom
Li -1.759 0.515 1.284
C 0.000 0.000 0.000
Li 1.206 1.886 -0.027
Li 1.206 -1.381 1.284
CELL_PARAMETERS angstrom
4.171 -0.011 -0.027
-1.759 3.782 -0.027
-1.759 -2.751 2.595

Most stable structure, least stable structure: A), B).

A) ! Li3C, relaxed, DFT PBE-GGA; values from VASP
! symmetry	No. 25
&SYSTEM
  ibrav = 0, nat = 4, ntyp = 2
/
ATOMIC_SPECIES
Li 6.94 Li.upf
C 12.01 C.upf
ATOMIC_POSITIONS angstrom
Li 0.000 1.835 1.518
C 0.000 0.000 3.368
Li 1.487 0.000 1.534
Li 1.487 1.835 3.359
CELL_PARAMETERS angstrom
2.975 0.000 0.000
0.000 3.669 0.000
0.000 0.000 3.667

B) ! Li3C, relaxed, DFT PBE-GGA; values from VASP
! symmetry	No. 10
&SYSTEM
  ibrav = 0, nat = 4, ntyp = 2
/
ATOMIC_SPECIES
Li 6.94 Li.upf
C 12.01 C.upf
ATOMIC_POSITIONS angstrom
Li 1.824 0.805 0.759
Li 0.000 2.211 2.007
Li 1.824 3.617 3.255
C 0.000 0.000 0.000
CELL_PARAMETERS angstrom
3.648 0.000 0.000
0.000 3.066 -0.045
0.000 1.357 4.059

Most stable structure, least stable structure: B), A).

A) ! Li3C, relaxed, DFT PBE-GGA; values from VASP
! symmetry	No. 194
&SYSTEM
  ibrav = 0, nat = 8, ntyp = 2
/
ATOMIC_SPECIES
Li 6.94 Li.upf
C 12.01 C.upf
ATOMIC_POSITIONS angstrom
Li -4.198 0.222 1.979
Li -2.828 0.948 3.564
C -3.928 0.754 -0.480
Li -3.217 -0.819 -1.926
Li -3.581 -1.367 0.191
Li -1.846 -0.094 -0.342
Li -2.464 1.496 1.447
C -2.117 -0.626 2.118
CELL_PARAMETERS angstrom
-3.122 -1.652 -3.609
-0.829 -1.248 4.822
-2.093 3.029 0.424

B) ! Li3C, relaxed, DFT PBE-GGA; values from VASP
! symmetry	No. 44
&SYSTEM
  ibrav = 0, nat = 4, ntyp = 2
/
ATOMIC_SPECIES
Li 6.94 Li.upf
C 12.01 C.upf
ATOMIC_POSITIONS angstrom
Li -3.296 -0.755 -1.112
Li -1.404 -1.168 0.916
C -3.845 1.746 -0.887
Li -1.713 -2.880 -0.967
CELL_PARAMETERS angstrom
-2.826 -1.974 -2.683
0.397 -4.238 0.980
-1.220 3.812 1.750

C) ! Li3C, relaxed, DFT PBE-GGA; values from VASP
! symmetry	No. 221
&SYSTEM
  ibrav = 0, nat = 4, ntyp = 2
/
ATOMIC_SPECIES
Li 6.94 Li.upf
C 12.01 C.upf
ATOMIC_POSITIONS angstrom
Li 0.000 2.076 0.000
C 0.000 0.000 0.000
Li 2.076 0.000 0.000
Li 0.000 0.000 2.076
CELL_PARAMETERS angstrom
4.153 0.000 0.000
0.000 4.153 0.000
0.000 0.000 4.153

Most stable structure, least stable structure: B), C).

A) ! Li3C, relaxed, DFT PBE-GGA; values from VASP
! symmetry	No. 139
&SYSTEM
  ibrav = 0, nat = 8, ntyp = 2
/
ATOMIC_SPECIES
Li 6.94 Li.upf
C 12.01 C.upf
ATOMIC_POSITIONS angstrom
Li -0.648 -0.265 -1.702
Li -0.494 -3.310 0.704
C -4.579 -5.210 2.557
Li 1.291 -1.278 -0.293
Li -2.434 -2.297 -0.705
Li -6.092 -6.932 3.402
Li -1.050 -1.195 0.586
C -2.563 -2.917 1.431
CELL_PARAMETERS angstrom
-1.631 -5.076 3.403
-5.511 -3.050 0.585
4.214 2.520 -3.989

B) ! Li3C, relaxed, DFT PBE-GGA; values from VASP
! symmetry	No. 194
&SYSTEM
  ibrav = 0, nat = 16, ntyp = 2
/
ATOMIC_SPECIES
C 12.01 C.upf
Li 6.94 Li.upf
ATOMIC_POSITIONS angstrom
C 2.492 1.439 5.667
Li 3.916 0.617 1.889
Li 1.246 2.158 3.778
Li -1.424 3.700 5.667
C 0.000 0.000 0.000
Li 2.492 0.000 3.778
C 0.000 0.000 3.778
Li 2.492 3.083 1.889
Li 1.424 3.700 5.667
Li 0.000 1.233 5.667
C 0.000 2.878 1.889
Li 1.246 2.158 0.000
Li 2.492 0.000 0.000
Li 1.068 0.617 1.889
Li -1.246 2.158 0.000
Li -1.246 2.158 3.778
CELL_PARAMETERS angstrom
4.984 0.000 0.000
-2.492 4.317 0.000
0.000 0.000 7.556

C) ! Li3C, relaxed, DFT PBE-GGA; values from VASP
! symmetry	No. 223
&SYSTEM
  ibrav = 0, nat = 8, ntyp = 2
/
ATOMIC_SPECIES
Li 6.94 Li.upf
C 12.01 C.upf
ATOMIC_POSITIONS angstrom
Li 0.595 1.337 1.869
C -0.400 0.128 3.654
Li -1.691 0.115 1.662
C 0.000 0.000 0.000
Li 1.920 0.463 3.279
Li 0.497 -1.260 1.949
Li -1.760 1.889 2.826
Li -1.161 -2.032 3.029
CELL_PARAMETERS angstrom
-0.136 3.549 2.329
-3.315 -1.544 2.159
2.651 -1.748 2.819

Most stable structure, least stable structure: C), B).

A) ! Li3C, relaxed, DFT PBE-GGA; values from VASP
! symmetry	No. 63
&SYSTEM
  ibrav = 0, nat = 8, ntyp = 2
/
ATOMIC_SPECIES
Li 6.94 Li.upf
C 12.01 C.upf
ATOMIC_POSITIONS angstrom
Li 2.149 -0.862 0.920
Li 3.328 2.797 2.760
Li 4.506 0.862 2.760
Li 3.328 -2.797 0.920
C 3.328 1.681 0.920
Li 4.506 -0.862 0.920
C 3.328 -1.681 2.760
Li 2.149 0.862 2.760
CELL_PARAMETERS angstrom
3.328 -3.384 0.000
3.328 3.384 0.000
0.000 0.000 3.680

B) ! Li3C, relaxed, DFT PBE-GGA; values from VASP
! symmetry	No. 225
&SYSTEM
  ibrav = 0, nat = 4, ntyp = 2
/
ATOMIC_SPECIES
Li 6.94 Li.upf
C 12.01 C.upf
ATOMIC_POSITIONS angstrom
Li -1.331 -1.643 0.879
C 0.000 0.000 0.000
Li -3.993 -4.928 2.636
Li -2.662 -3.285 1.757
CELL_PARAMETERS angstrom
-2.072 -1.000 2.947
-3.125 -1.990 -0.500
-0.127 -3.581 1.067

Most stable structure, least stable structure: B), A).